Record 1
CuBW3 | PBE-GGA | optimized geometry

Lattice parameters (Å, degrees): 4.167 4.167 4.167 90.00 90.00 90.00
Sites, in units of the cell vectors:
B 0.000 0.000 0.000
Cu 0.500 0.500 0.500
W 0.000 0.500 0.000
W 0.000 0.000 0.500
W 0.500 0.000 0.000

Energy of formation from the pure elements   0.49 eV per atom
Uncorrected energy   -9.432 eV/atom
Energy above the most stable polymorph in this dataset   0.000 eV/atom


Record 2
Pm3SmTh2As6 | PBE-GGA | optimized geometry

Lattice parameters (Å, degrees): 4.246 8.472 9.481 102.91 102.94 90.00
Sites, in units of the cell vectors:
Pm 0.500 0.500 0.000
Pm 0.834 0.166 0.669
Pm 0.166 0.834 0.331
Sm 0.500 0.000 0.000
Th 0.835 0.669 0.669
Th 0.165 0.331 0.331
As 0.334 0.916 0.667
As 0.667 0.582 0.334
As 0.666 0.084 0.333
As 0.000 0.250 0.001
As 0.000 0.750 0.999
As 0.333 0.418 0.666

Energy of formation from the pure elements   -1.51 eV per atom
Uncorrected energy   -6.648 eV/atom


Record 3
Mn2IrPt | PBE-GGA | optimized geometry

Lattice parameters (Å, degrees): 5.296 5.296 6.456 65.78 65.78 90.00
Sites, in units of the cell vectors:
Mn 0.618 0.125 0.250
Mn 0.132 0.625 0.250
Mn 0.375 0.382 0.750
Mn 0.875 0.868 0.750
Ir 0.500 0.500 0.000
Ir 0.250 0.750 0.500
Pt 0.000 0.000 0.000
Pt 0.750 0.250 0.500

Energy of formation from the pure elements   0.90 eV per atom
Uncorrected energy   -7.407 eV/atom
Energy above the most stable polymorph in this dataset   1.151 eV/atom


Record 4
MgCo2Si | PBE-GGA | optimized geometry

Lattice parameters (Å, degrees): 4.918 4.918 4.918 145.66 132.01 60.33
Site moments in Bohr magnetons follow the coordinates.
Sites, in units of the cell vectors:
Co 0.011 0.011 0.000  0.87
Co 0.764 0.264 0.500  0.96
Mg 0.499 0.499 0.000  -0.01
Si 0.226 0.726 0.500  -0.01

Uncorrected energy   -5.441 eV/atom
Energy relative to the elements, uncorrected   -3.087 kcal/mol of atoms


Record 5
PuTlSe3 | PBE-GGA | optimized geometry

Lattice parameters (Å, degrees): 5.511 7.794 8.754 107.82 108.35 90.00
Site moments in Bohr magnetons follow the coordinates.
Sites, in units of the cell vectors:
Pu 0.000 0.500 0.000  4.97
Pu 0.000 0.000 0.000  4.99
Tl 0.276 0.744 0.552  -0.01
Tl 0.724 0.256 0.448  -0.01
Se 0.870 0.660 0.740  -0.15
Se 0.639 0.180 0.796  -0.06
Se 0.130 0.340 0.260  -0.15
Se 0.157 0.180 0.796  -0.06
Se 0.361 0.820 0.204  -0.06
Se 0.843 0.820 0.204  -0.06

Uncorrected energy   -6.216 eV/atom
Energy above the most stable polymorph in this dataset   0.000 eV/atom
Energy relative to the elements, uncorrected   -18.116 kcal/mol of atoms


Record 6
SrIn2Os | PBE-GGA | optimized geometry

Lattice parameters (Å, degrees): 6.308 6.308 6.308 149.52 128.15 61.35
Sites, in units of the cell vectors:
In 0.953 0.953 0.000
In 0.547 0.547 0.000
Os 0.750 0.250 0.500
Sr 0.250 0.750 0.500

Energy of formation from the pure elements   0.26 eV per atom
Uncorrected energy   -4.336 eV/atom